Record 1
Material: SrZn2Si
Method: DFT, PBE
State: optimized geometry

The calculation puts the magnetic moment at 0.0 μB per cell. The density of states at the Fermi level comes out at 0.90 states/eV/f.u. The symmetry is No. 129. The value obtained for the uncorrected formation energy is -0.878 eV/f.u.

Unit cell a=4.2589 b=4.2589 c=9.7466 alpha=90.00 beta=90.00 gamma=90.00
Last column: nearest neighbours and their distance in Å.
Positions (direct):
Sr  0.2500  0.2500  0.2426  9 Zn 3.10-3.43, 4 Si 3.19
Sr  0.7500  0.7500  0.7574  9 Zn 3.10-3.43, 4 Si 3.19
Zn  0.2500  0.2500  0.9250  1 Si 2.68
Zn  0.2500  0.7500  0.5000  4 Si 2.58
Zn  0.7500  0.2500  0.5000  4 Si 2.58
Zn  0.7500  0.7500  0.0750  1 Si 2.68
Si  0.2500  0.2500  0.6497  5 Zn 2.58-2.68
Si  0.7500  0.7500  0.3503  5 Zn 2.58-2.68

Record 2
Material: TlTeRh2W
Method: DFT, PBE
State: optimized geometry

The calculation puts the magnetic moment at 3.4 μB per cell. The density of states at the Fermi level comes out at 5.89 states/eV/f.u. The symmetry is No. 123. The value obtained for the uncorrected formation energy is 8.748 eV/f.u.

Unit cell a=4.8330 b=4.8330 c=5.5260 alpha=90.00 beta=90.00 gamma=90.00
Last column: nearest neighbours and their distance in Å.
Positions (direct):
Tl  0.0000  0.0000  0.0000  2 Te 2.76
Te  0.0000  0.0000  0.5000  4 Rh 2.42
Rh  0.0000  0.5000  0.5000  2 Te 2.42
Rh  0.5000  0.0000  0.5000  2 Te 2.42
W  0.5000  0.5000  0.0000  4 Tl 3.42, 8 Rh 3.67

Record 3
Material: MgV2Ge2
Method: DFT, PBE
State: optimized geometry

The calculation puts the magnetic moment at 0.0 μB per cell. The density of states at the Fermi level comes out at 4.79 states/eV/f.u. The symmetry is No. 139. Its energy relative to the elements is 0.2500 eV per atom.

Unit cell a=6.4780 b=6.4780 c=6.4780 alpha=146.04 beta=146.04 gamma=48.79
Last column: nearest neighbours and their distance in Å.
Positions (direct):
Mg  0.0000  0.0000  0.0000  8 V 2.91
V  0.4036  0.4036  0.0000  1 V 2.27
V  0.5964  0.5964  0.0000  1 V 2.27
Ge  0.2500  0.7500  0.5000  4 V 2.62, 4 Ge 2.68
Ge  0.7500  0.2500  0.5000  4 V 2.62, 4 Ge 2.68

Record 4
Material: SrMgH2Pd
Method: DFT, PBE
State: optimized geometry

The calculation puts the magnetic moment at 0.0 μB per cell. The density of states at the Fermi level comes out at 0.96 states/eV/f.u. Its final energy is -13.7 eV/cell. The symmetry is No. 123.

Unit cell a=4.1468 b=4.1468 c=7.4623 alpha=90.00 beta=90.00 gamma=90.00
Last column: nearest neighbours and their distance in Å.
Positions (direct):
Sr  0.0000  0.0000  0.0000  4 H 2.07
Mg  0.0000  0.0000  0.5000  4 Pd 2.93
H  0.0000  0.5000  0.0000  2 Sr 2.07
H  0.5000  0.0000  0.0000  2 Sr 2.07
Pd  0.5000  0.5000  0.5000  4 Mg 2.93